# SbAsP2

A relaxed SbAsP2 crystal (GGA-PBE, Alexandria via LeMat-Bulk).

The total energy comes out at -18.9 eV for the cell shown. As for the uncorrected formation energy: 0.171 eV per atom. As for the volume: 85 Å³ per cell. The relative energy among the computed polymorphs is 85.4 meV per atom.

The space group is P2/m (No. 10) and the conventional cell measures 4.635, 3.810 and 4.991 Å, with angles of 90.00, 104.67 and 90.00 degrees. The asymmetric unit holds Sb at (0.000, 0.000, 0.000), As at (0.500, 0.000, 0.500) and P at (0.201, 0.500, 0.678).

***

# Sr2Br3O2

A relaxed Sr2Br3O2 crystal (GGA-PBE, Alexandria via LeMat-Bulk).

The total energy comes out at -30.6 eV for the cell shown. As for the uncorrected formation energy: -1.751 eV per atom. As for the volume: 198 Å³ per cell.

The space group is P-1 (No. 2) and the conventional cell measures 4.661, 6.097 and 7.340 Å, with angles of 89.46, 71.59 and 89.92 degrees. The asymmetric unit holds Sr at (0.129, 0.266, 0.243), Br at (0.224, 0.755, 0.051), Br at (0.500, 0.500, 0.500) and O at (0.146, 0.001, 0.501).

***

# SbAsPt4

A relaxed SbAsPt4 crystal (GGA-PBE, Alexandria via LeMat-Bulk).

The total energy comes out at -128.4 eV for the cell shown. As for the uncorrected formation energy: 0.139 eV per atom. As for the volume: 440 Å³ per cell.

The space group is F-43m (No. 216) and the conventional cell measures 7.608, 7.608 and 7.608 Å, with angles of 90.00, 90.00 and 90.00 degrees. The asymmetric unit holds Sb at (0.000, 0.000, 0.000), As at (0.250, 0.250, 0.750) and Pt at (0.125, 0.125, 0.375).